1.
An optimized crystal structure of HfZn11Pt, computed with PBE-GGA.

Geometry as POSCAR:
```
HfZn11Pt
1.0
-2.611 1.302 -4.273
2.155 -3.163 -5.536
-5.352 -3.970 -1.072
Zn Pt Hf
11 1 1
direct
0.498 0.208 0.788
0.714 0.792 0.788
0.359 0.651 0.651
0.286 0.208 0.212
0.000 0.000 0.500
0.500 0.000 0.500
0.641 0.349 0.349
0.009 0.651 0.349
0.502 0.792 0.212
0.991 0.349 0.651
0.000 0.500 0.000
0.500 0.500 0.000
0.000 0.000 0.000
```

Values from the calculation:
energy of formation from the pure elements: -163 meV per atom
crystal system: monoclinic
V: 15.3 Å³ per atom


2.
An optimized crystal structure of Hf2ZnPt9, computed with PBE-GGA.

Geometry as POSCAR:
```
Hf2ZnPt9
1.0
-1.286 -0.190 3.787
-0.026 -3.999 -0.210
11.325 -0.276 3.832
Zn Pt Hf
1 9 2
direct
0.000 0.000 0.000
0.500 0.500 0.000
0.500 0.500 0.668
0.500 0.000 0.500
0.500 0.000 0.837
0.000 0.500 0.500
0.000 0.500 0.837
0.000 0.500 0.163
0.500 0.000 0.163
0.500 0.500 0.332
0.000 0.000 0.673
0.000 0.000 0.327
```

Values from the calculation:
energy of formation from the pure elements: -884 meV per atom
crystal system: tetragonal
V: 16.0 Å³ per atom